No. 1
{"formula": "BaZnGe2Au", "functional": "PBE-GGA", "state": "optimized geometry", "lattice_angstrom": [[-2.290, 2.290, 5.456], [2.290, -2.290, 5.456], [2.290, 2.290, -5.456]], "species": ["Ba", "Zn", "Ge", "Ge", "Au"], "frac_coords": [[0.000, 0.000, 0.000], [0.250, 0.750, 0.500], [0.378, 0.378, 0.000], [0.622, 0.622, 0.000], [0.750, 0.250, 0.500]], "final_energy_ry_per_atom": -0.26408, "e_form_mev_per_atom": -451, "spacegroup": "I-4m2"}

No. 2
{"formula": "BaZnGeAu3", "functional": "PBE-GGA", "state": "optimized geometry", "lattice_angstrom": [[3.432, -6.372, 0.000], [3.432, 6.372, 0.000], [0.000, 0.000, 6.723]], "species": ["Ba", "Ba", "Zn", "Zn", "Ge", "Ge", "Au", "Au", "Au", "Au", "Au", "Au"], "frac_coords": [[0.227, 0.773, 0.750], [0.773, 0.227, 0.250], [0.494, 0.506, 0.750], [0.506, 0.494, 0.250], [0.108, 0.892, 0.250], [0.892, 0.108, 0.750], [0.215, 0.215, 0.000], [0.215, 0.215, 0.500], [0.306, 0.694, 0.250], [0.694, 0.306, 0.750], [0.785, 0.785, 0.000], [0.785, 0.785, 0.500]], "final_energy_ry_per_atom": -0.24335, "e_form_mev_per_atom": -370, "spacegroup": "Cmcm"}

No. 3
{"formula": "BaH12Au6", "functional": "PBE-GGA", "state": "optimized geometry", "lattice_angstrom": [[4.811, 2.777, 2.956], [-4.811, 2.777, 2.956], [0.000, -5.555, 2.956]], "species": ["Ba", "H", "H", "H", "H", "H", "H", "H", "H", "H", "H", "H", "H", "Au", "Au", "Au", "Au", "Au", "Au"], "frac_coords": [[0.000, 0.000, 0.000], [0.000, 0.291, 0.709], [0.000, 0.709, 0.291], [0.137, 0.401, 0.401], [0.291, 0.000, 0.709], [0.291, 0.709, 0.000], [0.401, 0.137, 0.401], [0.401, 0.401, 0.137], [0.599, 0.599, 0.863], [0.599, 0.863, 0.599], [0.709, 0.000, 0.291], [0.709, 0.291, 0.000], [0.863, 0.599, 0.599], [0.206, 0.206, 0.563], [0.206, 0.563, 0.206], [0.437, 0.794, 0.794], [0.563, 0.206, 0.206], [0.794, 0.437, 0.794], [0.794, 0.794, 0.437]], "final_energy_ry_per_atom": -0.23404, "spacegroup": "R-3m"}

No. 4
{"formula": "Ba5HAu2", "functional": "PBE-GGA", "state": "optimized geometry", "lattice_angstrom": [[15.070, 0.000, 0.000], [0.000, 4.944, 0.000], [0.000, 0.000, 18.266]], "species": ["Ba", "Ba", "Ba", "Ba", "Ba", "Ba", "Ba", "Ba", "Ba", "Ba", "Ba", "Ba", "Ba", "Ba", "Ba", "Ba", "Ba", "Ba", "Ba", "Ba", "H", "H", "H", "H", "Au", "Au", "Au", "Au", "Au", "Au", "Au", "Au"], "frac_coords": [[0.003, 0.250, 0.158], [0.016, 0.750, 0.396], [0.193, 0.250, 0.962], [0.230, 0.250, 0.292], [0.248, 0.750, 0.127], [0.252, 0.250, 0.627], [0.270, 0.750, 0.792], [0.307, 0.750, 0.462], [0.484, 0.250, 0.896], [0.497, 0.750, 0.658], [0.503, 0.250, 0.342], [0.516, 0.750, 0.104], [0.693, 0.250, 0.538], [0.730, 0.250, 0.208], [0.748, 0.750, 0.373], [0.752, 0.250, 0.873], [0.770, 0.750, 0.708], [0.807, 0.750, 0.038], [0.984, 0.250, 0.604], [0.997, 0.750, 0.842], [0.182, 0.250, 0.133], [0.318, 0.750, 0.633], [0.682, 0.250, 0.367], [0.818, 0.750, 0.867], [0.125, 0.250, 0.777], [0.151, 0.250, 0.465], [0.349, 0.750, 0.965], [0.375, 0.750, 0.277], [0.625, 0.250, 0.723], [0.651, 0.250, 0.035], [0.849, 0.750, 0.535], [0.875, 0.750, 0.223]], "final_energy_ry_per_atom": -0.21047, "polymorph_energy_mev_per_atom": 0, "spacegroup": "Pnma"}

No. 5
{"formula": "BaH2Au", "functional": "PBE-GGA", "state": "optimized geometry", "lattice_angstrom": [[-2.444, 2.444, 5.754], [2.444, -2.444, 5.754], [2.444, 2.444, -5.754]], "species": ["Ba", "Ba", "H", "H", "H", "H", "Au", "Au"], "frac_coords": [[0.375, 0.625, 0.750], [0.625, 0.375, 0.250], [0.000, 0.000, 0.000], [0.000, 0.000, 0.500], [0.000, 0.500, 0.000], [0.500, 0.000, 0.500], [0.125, 0.875, 0.250], [0.875, 0.125, 0.750]], "final_energy_ry_per_atom": -0.23724, "polymorph_energy_mev_per_atom": 190, "spacegroup": "I4_1/amd"}

No. 6
{"formula": "Ba2H4Au", "functional": "PBE-GGA", "state": "optimized geometry", "lattice_angstrom": [[-2.111, 2.111, 7.392], [2.111, -2.111, 7.392], [2.111, 2.111, -7.392]], "species": ["Ba", "Ba", "H", "H", "H", "H", "Au"], "frac_coords": [[0.145, 0.145, 0.000], [0.855, 0.855, 0.000], [0.250, 0.750, 0.500], [0.387, 0.387, 0.000], [0.613, 0.613, 0.000], [0.750, 0.250, 0.500], [0.500, 0.500, 0.000]], "final_energy_ry_per_atom": -0.25023, "spacegroup": "I4/mmm"}

No. 7
{"formula": "BaH4Au", "functional": "PBE-GGA", "state": "optimized geometry", "lattice_angstrom": [[-3.335, 3.335, 2.118], [3.335, -3.335, 2.118], [3.335, 3.335, -2.118]], "species": ["Ba", "H", "H", "H", "H", "Au"], "frac_coords": [[0.000, 0.000, 0.000], [0.210, 0.642, 0.157], [0.358, 0.515, 0.568], [0.485, 0.053, 0.843], [0.947, 0.790, 0.432], [0.250, 0.750, 0.500]], "final_energy_ry_per_atom": -0.23997, "spacegroup": "I-4"}

No. 8
{"formula": "Ba12H5Au3", "functional": "PBE-GGA", "state": "optimized geometry", "lattice_angstrom": [[-8.985, 8.985, 8.985], [8.985, -8.985, 8.985], [8.985, 8.985, -8.985]], "species": ["Ba", "Ba", "Ba", "Ba", "Ba", "Ba", "Ba", "Ba", "Ba", "Ba", "Ba", "Ba", "Ba", "Ba", "Ba", "Ba", "Ba", "Ba", "Ba", "Ba", "Ba", "Ba", "Ba", "Ba", "Ba", "Ba", "Ba", "Ba", "Ba", "Ba", "Ba", "Ba", "Ba", "Ba", "Ba", "Ba", "Ba", "Ba", "Ba", "Ba", "Ba", "Ba", "Ba", "Ba", "Ba", "Ba", "Ba", "Ba", "H", "H", "H", "H", "H", "H", "H", "H", "H", "H", "H", "H", "H", "H", "H", "H", "H", "H", "H", "H", "Au", "Au", "Au", "Au", "Au", "Au", "Au", "Au", "Au", "Au", "Au", "Au"], "frac_coords": [[0.026, 0.213, 0.122], [0.026, 0.313, 0.903], [0.091, 0.713, 0.687], [0.091, 0.878, 0.403], [0.097, 0.622, 0.409], [0.097, 0.974, 0.687], [0.122, 0.026, 0.213], [0.122, 0.597, 0.909], [0.187, 0.213, 0.591], [0.187, 0.474, 0.597], [0.213, 0.122, 0.026], [0.213, 0.591, 0.187], [0.287, 0.313, 0.909], [0.287, 0.474, 0.378], [0.313, 0.903, 0.026], [0.313, 0.909, 0.287], [0.378, 0.287, 0.474], [0.378, 0.591, 0.903], [0.403, 0.091, 0.878], [0.403, 0.813, 0.526], [0.409, 0.097, 0.622], [0.409, 0.813, 0.787], [0.474, 0.378, 0.287], [0.474, 0.597, 0.187], [0.526, 0.403, 0.813], [0.526, 0.622, 0.713], [0.591, 0.187, 0.213], [0.591, 0.903, 0.378], [0.597, 0.187, 0.474], [0.597, 0.909, 0.122], [0.622, 0.409, 0.097], [0.622, 0.713, 0.526], [0.687, 0.091, 0.713], [0.687, 0.097, 0.974], [0.713, 0.526, 0.622], [0.713, 0.687, 0.091], [0.787, 0.409, 0.813], [0.787, 0.878, 0.974], [0.813, 0.526, 0.403], [0.813, 0.787, 0.409], [0.878, 0.403, 0.091], [0.878, 0.974, 0.787], [0.903, 0.026, 0.313], [0.903, 0.378, 0.591], [0.909, 0.122, 0.597], [0.909, 0.287, 0.313], [0.974, 0.687, 0.097], [0.974, 0.787, 0.878], [0.000, 0.000, 0.000], [0.000, 0.000, 0.500], [0.000, 0.500, 0.000], [0.000, 0.500, 0.500], [0.125, 0.750, 0.875], [0.125, 0.875, 0.250], [0.250, 0.125, 0.875], [0.250, 0.625, 0.375], [0.375, 0.250, 0.625], [0.375, 0.625, 0.750], [0.500, 0.000, 0.000], [0.500, 0.000, 0.500], [0.500, 0.500, 0.000], [0.500, 0.500, 0.500], [0.625, 0.375, 0.250], [0.625, 0.750, 0.375], [0.750, 0.375, 0.625], [0.750, 0.875, 0.125], [0.875, 0.125, 0.750], [0.875, 0.250, 0.125], [0.125, 0.250, 0.375], [0.125, 0.375, 0.750], [0.250, 0.375, 0.125], [0.250, 0.875, 0.625], [0.375, 0.125, 0.250], [0.375, 0.750, 0.125], [0.625, 0.250, 0.875], [0.625, 0.875, 0.750], [0.750, 0.125, 0.375], [0.750, 0.625, 0.875], [0.875, 0.625, 0.250], [0.875, 0.750, 0.625]], "final_energy_ry_per_atom": -0.20963, "spacegroup": "Ia-3d"}

Repeat the third record exactly.
{"formula": "BaH12Au6", "functional": "PBE-GGA", "state": "optimized geometry", "lattice_angstrom": [[4.811, 2.777, 2.956], [-4.811, 2.777, 2.956], [0.000, -5.555, 2.956]], "species": ["Ba", "H", "H", "H", "H", "H", "H", "H", "H", "H", "H", "H", "H", "Au", "Au", "Au", "Au", "Au", "Au"], "frac_coords": [[0.000, 0.000, 0.000], [0.000, 0.291, 0.709], [0.000, 0.709, 0.291], [0.137, 0.401, 0.401], [0.291, 0.000, 0.709], [0.291, 0.709, 0.000], [0.401, 0.137, 0.401], [0.401, 0.401, 0.137], [0.599, 0.599, 0.863], [0.599, 0.863, 0.599], [0.709, 0.000, 0.291], [0.709, 0.291, 0.000], [0.863, 0.599, 0.599], [0.206, 0.206, 0.563], [0.206, 0.563, 0.206], [0.437, 0.794, 0.794], [0.563, 0.206, 0.206], [0.794, 0.437, 0.794], [0.794, 0.794, 0.437]], "final_energy_ry_per_atom": -0.23404, "spacegroup": "R-3m"}